# 1
LaCoSe2 after structural relaxation, computed with PBE-GGA.

Results
As for the total energy: -5.69 eV/atom. The calculation puts the volume at 21.71 Å³/atom. The energy above the most stable polymorph in this dataset comes out at 96 meV per atom. The value obtained for the uncorrected formation energy is -944 meV/atom.

a b c (Å): 3.964 5.744 7.626
angles (deg): 90.00 90.00 90.00
Fractional coordinates of all 8 atoms:
La1 0.000 0.000 0.000
La2 0.500 0.500 0.500
Co1 0.000 0.000 0.500
Co2 0.500 0.500 0.000
Se1 0.000 0.500 0.195
Se2 0.000 0.500 0.805
Se3 0.500 0.000 0.305
Se4 0.500 0.000 0.695

# 2
Ti3MnZn after structural relaxation, computed with PBE-GGA.

Results
As for the total energy: -5.88 eV/atom. The calculation puts the volume at 20.39 Å³/atom. The energy above the most stable polymorph in this dataset comes out at 565 meV per atom. The energy of formation from the pure elements comes out at 4.714 eV per formula unit.

a b c (Å): 4.671 4.671 4.671
angles (deg): 90.00 90.00 90.00
Fractional coordinates of all 5 atoms:
Ti1 0.000 0.000 0.500
Ti2 0.000 0.500 0.000
Ti3 0.500 0.000 0.000
Mn1 0.500 0.500 0.500
Zn1 0.000 0.000 0.000

# 3
CaPm2Tl6 after structural relaxation, computed with PBE-GGA.

Results
As for the total energy: -3.08 eV/atom. The calculation puts the volume at 29.21 Å³/atom. The energy of formation from the pure elements comes out at -2.017 eV per formula unit.

a b c (Å): 9.032 9.032 3.693
angles (deg): 90.22 90.22 60.79
Fractional coordinates of all 9 atoms:
Ca1 0.000 0.000 0.000
Pm1 0.339 0.339 0.001
Pm2 0.661 0.661 0.999
Tl1 0.002 0.337 0.617
Tl2 0.331 0.669 0.500
Tl3 0.337 0.002 0.617
Tl4 0.663 0.998 0.383
Tl5 0.669 0.331 0.500
Tl6 0.998 0.663 0.383

# 4
Nd2CdSn3Pt4 after structural relaxation, computed with PBE-GGA.

Results
As for the total energy: -5.44 eV/atom. The calculation puts the volume at 22.63 Å³/atom. The energy of formation from the pure elements comes out at -7.823 eV per formula unit.

a b c (Å): 4.550 4.550 10.932
angles (deg): 90.00 90.00 90.00
Fractional coordinates of all 10 atoms:
Nd1 0.000 0.500 0.246
Nd2 0.500 0.000 0.754
Cd1 0.000 0.000 0.500
Sn1 0.000 0.500 0.872
Sn2 0.500 0.000 0.128
Sn3 0.500 0.500 0.500
Pt1 0.000 0.000 0.000
Pt2 0.000 0.500 0.638
Pt3 0.500 0.000 0.362
Pt4 0.500 0.500 0.000